Ce3NdPu2N6: relaxed, GGA-PBE.

The volume is 380.5 Å³/cell. As for the total energy: -9.83 eV per atom. The uncorrected formation energy comes out at -1.3977 eV per atom.

It has space group C2/m (No. 12), with a = 6.163 Å, b = 10.665 Å, c = 6.144 Å, α = 90.00°, β = 109.57° and γ = 90.00°. The asymmetric unit holds Ce at (0.000, 0.000, 0.000), Ce at (0.000, 0.334, 0.000), Nd at (0.000, 0.500, 0.500), Pu at (0.000, 0.167, 0.500), N at (0.232, 0.000, 0.743) and N at (0.243, 0.174, 0.253).

LiHAu: relaxed, GGA-PBE.

The volume is 75.1 Å³/cell. As for the total energy: -2.97 eV per atom.

It has space group I4mm (No. 107), with a = 2.809 Å, b = 2.809 Å, c = 9.518 Å, α = 90.00°, β = 90.00° and γ = 90.00°. The asymmetric unit holds Li at (0.000, 0.000, 0.000), H at (0.000, 0.000, 0.481) and Au at (0.000, 0.000, 0.283).

SmMn2Al2C: relaxed, GGA-PBE.

The volume is 87.8 Å³/cell. As for the total energy: -6.94 eV per atom. Its formation energy is -0.3155 eV per atom.

It has space group P4/mmm (No. 123), with a = 3.939 Å, b = 3.939 Å, c = 5.656 Å, α = 90.00°, β = 90.00° and γ = 90.00°. The asymmetric unit holds Sm at (0.000, 0.000, 0.000), Mn at (0.000, 0.500, 0.500), Al at (0.500, 0.500, 0.235) and C at (0.000, 0.000, 0.500).

BPd4: relaxed, GGA-PBE.

The volume is 281.7 Å³/cell. The energy above the lowest structure with this stoichiometry is 82 meV/atom. As for the total energy: -5.64 eV per atom. Its formation energy is -0.1507 eV per atom.

It has space group I4_1/amd (No. 141, origin choice 2), with a = 6.932 Å, b = 6.932 Å, c = 5.862 Å, α = 90.00°, β = 90.00° and γ = 90.00°. The asymmetric unit holds B at (0.000, 0.250, 0.375) and Pd at (0.000, 0.030, 0.731).

CeAsS4Br: relaxed, GGA-PBE.

The volume is 773.2 Å³/cell. As for the total energy: -4.83 eV per atom. The uncorrected formation energy comes out at -0.7163 eV per atom.

It has space group C2/m (No. 12), with a = 11.195 Å, b = 8.866 Å, c = 8.035 Å, α = 90.00°, β = 104.17° and γ = 90.00°. The asymmetric unit holds Ce at (0.217, 0.000, 0.124), As at (0.140, 0.500, 0.275), S at (0.047, 0.500, 0.684), S at (0.171, 0.319, 0.092), S at (0.217, 0.000, 0.487) and Br at (0.025, 0.000, 0.796).

Na3TbPb6: relaxed, GGA-PBE.

The volume is 582.1 Å³/cell. As for the total energy: -3.28 eV per atom. Its formation energy is -0.1961 eV per atom.

It has space group P2_1/m (No. 11), with a = 10.912 Å, b = 4.875 Å, c = 10.943 Å, α = 90.00°, β = 90.31° and γ = 90.00°. The asymmetric unit holds Na at (0.003, 0.250, 0.250), Na at (0.205, 0.750, 0.346), Na at (0.402, 0.250, 0.446), Tb at (0.384, 0.750, 0.941), Pb at (0.098, 0.250, 0.540), Pb at (0.103, 0.750, 0.046), Pb at (0.187, 0.250, 0.835), Pb at (0.300, 0.750, 0.645), Pb at (0.309, 0.250, 0.144) and Pb at (0.498, 0.250, 0.757).

- Which value of volume does entry 3 give?
  87.8 Å³/cell